NdThH | PBE-GGA | relaxed

Its energy above the most stable polymorph in this dataset is 0.099 eV/atom.

The structure belongs to space group I4mm (No. 107); the cell edges are 3.458, 3.458 and 12.515 Å and the angles 90.00°, 90.00° and 90.00°. The asymmetric unit holds Nd at (0.000, 0.000, 0.000), Th at (0.000, 0.000, 0.292) and H at (0.000, 0.000, 0.475).



DyPa3N6 | PBE-GGA | relaxed

Its energy above the most stable polymorph in this dataset is 0.000 eV/atom. For the uncorrected formation energy, the calculation gives -16.5 eV/f.u.

The structure belongs to space group P2_1/m (No. 11); the cell edges are 9.214, 3.565 and 9.342 Å and the angles 90.00°, 104.86° and 90.00°. The asymmetric unit holds Dy at (0.071, 0.250, 0.172), Pa at (0.170, 0.250, 0.582), Pa at (0.313, 0.750, 0.975), Pa at (0.466, 0.250, 0.321), N at (0.075, 0.750, 0.420), N at (0.115, 0.250, 0.932), N at (0.274, 0.750, 0.720), N at (0.292, 0.750, 0.216), N at (0.407, 0.250, 0.549) and N at (0.446, 0.250, 0.079).



Tl12Cl3F5 | PBE-GGA | relaxed

For the uncorrected formation energy, the calculation gives -19.2 eV/f.u.

The structure belongs to space group Ia-3d (No. 230); the cell edges are 17.129, 17.129 and 17.129 Å and the angles 90.00°, 90.00° and 90.00°. The asymmetric unit holds Tl at (0.034, 0.065, 0.647), Cl at (0.000, 0.250, 0.125), F at (0.000, 0.000, 0.000) and F at (0.000, 0.250, 0.375).



CsMgNb3 | PBE-GGA | relaxed

As for the formation energy: 2.43 eV/atom. Its energy above the most stable polymorph in this dataset is 0.242 eV/atom.

The structure belongs to space group Pm-3m (No. 221); the cell edges are 5.049, 5.049 and 5.049 Å and the angles 90.00°, 90.00° and 90.00°. The asymmetric unit holds Cs at (0.000, 0.000, 0.000), Mg at (0.500, 0.500, 0.500) and Nb at (0.000, 0.000, 0.500).



AcNd2DyEr | PBE-GGA | relaxed

As for the formation energy: 0.04 eV/atom.

The structure belongs to space group P2_1/m (No. 11); the cell edges are 6.449, 5.905 and 9.864 Å and the angles 90.00°, 108.82° and 90.00°. The asymmetric unit holds Ac at (0.137, 0.250, 0.105), Nd at (0.267, 0.750, 0.700), Nd at (0.338, 0.250, 0.502), Dy at (0.477, 0.750, 0.105) and Er at (0.065, 0.750, 0.308).



NiAgSe4 | PBE-GGA | relaxed

For the uncorrected formation energy, the calculation gives 4.9 eV/f.u.

The structure belongs to space group F-43m (No. 216); the cell edges are 8.008, 8.008 and 8.008 Å and the angles 90.00°, 90.00° and 90.00°. The asymmetric unit holds Ni at (0.000, 0.000, 0.000), Ag at (0.250, 0.250, 0.250) and Se at (0.126, 0.126, 0.626).



Pm2TcNi3As4 | PBE-GGA | relaxed

As for the formation energy: -0.75 eV/atom.

The structure belongs to space group P-4m2 (No. 115); the cell edges are 4.186, 4.186 and 9.773 Å and the angles 90.00°, 90.00° and 90.00°. The asymmetric unit holds Pm at (0.000, 0.500, 0.241), Tc at (0.000, 0.000, 0.500), Ni at (0.000, 0.500, 0.882), Ni at (0.500, 0.500, 0.500), As at (0.000, 0.000, 0.000), As at (0.000, 0.500, 0.638) and As at (0.500, 0.500, 0.000).



TlC2 | PBE-GGA | relaxed

As for the formation energy: 3.61 eV/atom. Its energy above the most stable polymorph in this dataset is 2.711 eV/atom.

The structure belongs to space group P4/mmm (No. 123); the cell edges are 3.435, 3.435 and 4.585 Å and the angles 90.00°, 90.00° and 90.00°. The asymmetric unit holds Tl at (0.000, 0.000, 0.000), C at (0.000, 0.000, 0.500) and C at (0.500, 0.500, 0.000).



InIr4Br | PBE-GGA | relaxed

For the uncorrected formation energy, the calculation gives 5.0 eV/f.u.

The structure belongs to space group F-43m (No. 216); the cell edges are 7.550, 7.550 and 7.550 Å and the angles 90.00°, 90.00° and 90.00°. The asymmetric unit holds In at (0.000, 0.000, 0.000), Ir at (0.125, 0.125, 0.625) and Br at (0.250, 0.250, 0.250).



EuPuGe2 | PBE-GGA | relaxed

As for the formation energy: -0.39 eV/atom. Its energy above the most stable polymorph in this dataset is 0.057 eV/atom.

The structure belongs to space group Fm-3m (No. 225); the cell edges are 7.264, 7.264 and 7.264 Å and the angles 90.00°, 90.00° and 90.00°. The asymmetric unit holds Eu at (0.000, 0.000, 0.000), Pu at (0.000, 0.000, 0.500) and Ge at (0.250, 0.250, 0.250).



BaLi6Ag2 | PBE-GGA | relaxed

As for the formation energy: -0.11 eV/atom.

The structure belongs to space group P4/mmm (No. 123); the cell edges are 4.517, 4.517 and 10.121 Å and the angles 90.00°, 90.00° and 90.00°. The asymmetric unit holds Ba at (0.000, 0.000, 0.000), Li at (0.000, 0.000, 0.500), Li at (0.000, 0.500, 0.307), Li at (0.500, 0.500, 0.500) and Ag at (0.500, 0.500, 0.149).